An optimized crystal structure of Rb2WNF6. Source: the Alexandria database, functional GGA+U.

Values from the calculation:
N(E_F)	0.00	states/eV/cell
spin magnetization	1.00	μB/f.u.
calculated total energy	-4.664	eV per atom

Unit cell a=6.842 b=6.842 c=7.786 alpha=90.00 beta=90.00 gamma=90.00
Space group I4/mmm (No. 139)
One atom of each set of equivalent atoms:
Rb 0.000 0.500 0.250 x4
W 0.000 0.000 0.000 x2
N 0.000 0.000 0.500 x2
F 0.000 0.000 0.274 x4
F 0.216 0.216 0.000 x8